[1]
The following is a PBE-GGA calculation of a relaxed structure of Ce3SeN, from Alexandria.

Cell: 3.7249 7.8734 8.5651 Å, 94.63 115.78 90.00°
With the nearest neighbours (Å) after each atom.
Sites, in units of the cell vectors:
Ce  0.3864  0.3779  0.6365  2 N 2.55
Ce  0.8166  0.3264  0.0666  3 N 2.40-2.49
Ce  0.9796  0.0731  0.7296  1 N 2.47
Ce  0.6136  0.6221  0.3635  2 N 2.55
Ce  0.0204  0.9269  0.2704  1 N 2.47
Ce  0.1834  0.6736  0.9334  3 N 2.40-2.49
Se  0.3900  0.7705  0.6399  8 Ce 2.99-3.20
Se  0.6100  0.2295  0.3601  8 Ce 2.99-3.20
N  0.1116  0.3704  0.8617  6 Ce 2.40-2.55
N  0.8884  0.6296  0.1383  6 Ce 2.40-2.55

Summary:
Raw formation energy = -1204 meV per atom
Final energy = -7.13 eV per atom

=====

[2]
The following is a PBE-GGA calculation of a relaxed structure of Cu3OF5, from Alexandria.

Cell: 5.4275 5.6468 7.7444 Å, 73.49 71.38 70.41°
With the nearest neighbours (Å) after each atom.
Sites, in units of the cell vectors:
Cu  0.6929  0.6141  0.3292  1 O 1.87, 3 F 1.95-1.96
Cu  0.3172  0.3240  0.1812  1 O 1.85, 3 F 1.90-1.92
Cu  0.6828  0.6760  0.8188  1 O 1.85, 3 F 1.90-1.92
Cu  0.3071  0.3859  0.6708  1 O 1.87, 3 F 1.95-1.96
Cu  0.0000  0.0000  0.5000  2 O 1.87, 2 F 1.94
Cu  0.0000  0.0000  0.0000  6 F 1.94-2.04
O  0.9863  0.3264  0.3494  3 Cu 1.85-1.87
O  0.0137  0.6736  0.6506  3 Cu 1.85-1.87
F  0.7899  0.7622  0.9981  2 Cu 1.90-2.04
F  0.9065  0.8569  0.2725  2 Cu 1.95-2.00
F  0.3711  0.9055  0.3555  2 Cu 1.94-1.96
F  0.6731  0.2815  0.0216  2 Cu 1.91-1.94
F  0.4450  0.4189  0.3495  2 Cu 1.92-1.95
F  0.5550  0.5811  0.6505  2 Cu 1.92-1.95
F  0.3269  0.7185  0.9784  2 Cu 1.91-1.94
F  0.6289  0.0945  0.6445  2 Cu 1.94-1.96
F  0.0935  0.1431  0.7275  2 Cu 1.95-2.00
F  0.2101  0.2378  0.0019  2 Cu 1.90-2.04

Summary:
Raw formation energy = -1297 meV per atom
Final energy = -4.25 eV per atom
Excess energy over the best structure of this formula in the dataset = 0.0 meV per atom

=====

[3]
The following is a PBE-GGA calculation of a relaxed structure of Pu3Tl5Te12, from Alexandria.

Cell: 15.7178 15.7178 15.7178 Å, 109.47 109.47 109.47°
With the nearest neighbours (Å) after each atom.
Sites, in units of the cell vectors:
Pu  0.7500  0.3750  0.1250  8 Te 3.25-3.29
Pu  0.8750  0.7500  0.1250  8 Te 3.25-3.29
Pu  0.3750  0.7500  0.6250  8 Te 3.25-3.29
Pu  0.2500  0.1250  0.3750  8 Te 3.25-3.29
Pu  0.8750  0.1250  0.2500  8 Te 3.25-3.29
Pu  0.3750  0.6250  0.2500  8 Te 3.25-3.29
Pu  0.6250  0.3750  0.7500  8 Te 3.25-3.29
Pu  0.1250  0.8750  0.7500  8 Te 3.25-3.29
Pu  0.7500  0.8750  0.6250  8 Te 3.25-3.29
Pu  0.6250  0.2500  0.3750  8 Te 3.25-3.29
Pu  0.1250  0.2500  0.8750  8 Te 3.25-3.29
Pu  0.2500  0.6250  0.8750  8 Te 3.25-3.29
Tl  0.1250  0.3750  0.2500  4 Te 2.96
Tl  0.0000  0.5000  0.0000  6 Te 3.19
Tl  0.0000  0.0000  0.0000  6 Te 3.19
Tl  0.3750  0.2500  0.1250  4 Te 2.96
Tl  0.5000  0.0000  0.5000  6 Te 3.19
Tl  0.5000  0.5000  0.0000  6 Te 3.19
Tl  0.1250  0.7500  0.3750  4 Te 2.96
Tl  0.7500  0.1250  0.8750  4 Te 2.96
Tl  0.7500  0.6250  0.3750  4 Te 2.96
Tl  0.3750  0.1250  0.7500  4 Te 2.96
Tl  0.6250  0.8750  0.2500  4 Te 2.96
Tl  0.5000  0.5000  0.5000  6 Te 3.19
Tl  0.5000  0.0000  0.0000  6 Te 3.19
Tl  0.0000  0.0000  0.5000  6 Te 3.19
Tl  0.2500  0.3750  0.6250  4 Te 2.96
Tl  0.2500  0.8750  0.1250  4 Te 2.96
Tl  0.0000  0.5000  0.5000  6 Te 3.19
Tl  0.8750  0.2500  0.6250  4 Te 2.96
Tl  0.6250  0.7500  0.8750  4 Te 2.96
Tl  0.8750  0.6250  0.7500  4 Te 2.96
Te  0.7330  0.1456  0.0618  2 Tl 2.96-3.19, 1 Te 3.24, 2 Pu 3.25-3.29
Te  0.3288  0.5618  0.4162  2 Tl 2.96-3.19, 1 Te 3.24, 2 Pu 3.25-3.29
Te  0.9382  0.3544  0.2670  2 Tl 2.96-3.19, 1 Te 3.24, 2 Pu 3.25-3.29
Te  0.5618  0.2330  0.1456  2 Tl 2.96-3.19, 1 Te 3.24, 2 Pu 3.25-3.29
Te  0.5873  0.7330  0.6712  2 Tl 2.96-3.19, 1 Te 3.24, 2 Pu 3.25-3.29
Te  0.9382  0.5838  0.1712  2 Tl 2.96-3.19, 1 Te 3.24, 2 Pu 3.25-3.29
Te  0.3288  0.7670  0.4127  2 Tl 2.96-3.19, 1 Te 3.24, 2 Pu 3.25-3.29
Te  0.0838  0.9127  0.1456  2 Tl 2.96-3.19, 1 Te 3.24, 2 Pu 3.25-3.29
Te  0.5838  0.9382  0.6712  2 Tl 2.96-3.19, 1 Te 3.24, 2 Pu 3.25-3.29
Te  0.7330  0.5873  0.1712  2 Tl 2.96-3.19, 1 Te 3.24, 2 Pu 3.25-3.29
Te  0.7670  0.4382  0.3544  2 Tl 2.96-3.19, 1 Te 3.24, 2 Pu 3.25-3.29
Te  0.8288  0.9162  0.0618  2 Tl 2.96-3.19, 1 Te 3.24, 2 Pu 3.25-3.29
Te  0.1456  0.7330  0.5618  2 Tl 2.96-3.19, 1 Te 3.24, 2 Pu 3.25-3.29
Te  0.3544  0.4162  0.0873  2 Tl 2.96-3.19, 1 Te 3.24, 2 Pu 3.25-3.29
Te  0.0873  0.9162  0.3544  2 Tl 2.96-3.19, 1 Te 3.24, 2 Pu 3.25-3.29
Te  0.4127  0.1456  0.5838  2 Tl 2.96-3.19, 1 Te 3.24, 2 Pu 3.25-3.29
Te  0.0873  0.1712  0.2330  2 Tl 2.96-3.19, 1 Te 3.24, 2 Pu 3.25-3.29
Te  0.4382  0.6712  0.0838  2 Tl 2.96-3.19, 1 Te 3.24, 2 Pu 3.25-3.29
Te  0.8288  0.9127  0.2670  2 Tl 2.96-3.19, 1 Te 3.24, 2 Pu 3.25-3.29
Te  0.1456  0.4127  0.0838  2 Tl 2.96-3.19, 1 Te 3.24, 2 Pu 3.25-3.29
Te  0.3544  0.9382  0.7670  2 Tl 2.96-3.19, 1 Te 3.24, 2 Pu 3.25-3.29
Te  0.5838  0.6456  0.4127  2 Tl 2.96-3.19, 1 Te 3.24, 2 Pu 3.25-3.29
Te  0.9162  0.8288  0.5618  2 Tl 2.96-3.19, 1 Te 3.24, 2 Pu 3.25-3.29
Te  0.7670  0.3288  0.9127  2 Tl 2.96-3.19, 1 Te 3.24, 2 Pu 3.25-3.29
Te  0.4162  0.3544  0.5873  2 Tl 2.96-3.19, 1 Te 3.24, 2 Pu 3.25-3.29
Te  0.0838  0.1712  0.4382  2 Tl 2.96-3.19, 1 Te 3.24, 2 Pu 3.25-3.29
Te  0.2330  0.6712  0.0873  2 Tl 2.96-3.19, 1 Te 3.24, 2 Pu 3.25-3.29
Te  0.1712  0.0873  0.7330  2 Tl 2.96-3.19, 1 Te 3.24, 2 Pu 3.25-3.29
Te  0.6456  0.0618  0.2330  2 Tl 2.96-3.19, 1 Te 3.24, 2 Pu 3.25-3.29
Te  0.8544  0.5873  0.9162  2 Tl 2.96-3.19, 1 Te 3.24, 2 Pu 3.25-3.29
Te  0.5618  0.3288  0.9162  2 Tl 2.96-3.19, 1 Te 3.24, 2 Pu 3.25-3.29
Te  0.5873  0.8544  0.4162  2 Tl 2.96-3.19, 1 Te 3.24, 2 Pu 3.25-3.29
Te  0.9127  0.8288  0.7670  2 Tl 2.96-3.19, 1 Te 3.24, 2 Pu 3.25-3.29
Te  0.9127  0.0838  0.6456  2 Tl 2.96-3.19, 1 Te 3.24, 2 Pu 3.25-3.29
Te  0.8544  0.2670  0.4382  2 Tl 2.96-3.19, 1 Te 3.24, 2 Pu 3.25-3.29
Te  0.1712  0.0838  0.9382  2 Tl 2.96-3.19, 1 Te 3.24, 2 Pu 3.25-3.29
Te  0.6456  0.5838  0.9127  2 Tl 2.96-3.19, 1 Te 3.24, 2 Pu 3.25-3.29
Te  0.4162  0.0618  0.3288  2 Tl 2.96-3.19, 1 Te 3.24, 2 Pu 3.25-3.29
Te  0.2670  0.4127  0.8288  2 Tl 2.96-3.19, 1 Te 3.24, 2 Pu 3.25-3.29
Te  0.2330  0.5618  0.6456  2 Tl 2.96-3.19, 1 Te 3.24, 2 Pu 3.25-3.29
Te  0.9162  0.0873  0.8544  2 Tl 2.96-3.19, 1 Te 3.24, 2 Pu 3.25-3.29
Te  0.6712  0.2330  0.5873  2 Tl 2.96-3.19, 1 Te 3.24, 2 Pu 3.25-3.29
Te  0.4382  0.7670  0.8544  2 Tl 2.96-3.19, 1 Te 3.24, 2 Pu 3.25-3.29
Te  0.0618  0.4162  0.8288  2 Tl 2.96-3.19, 1 Te 3.24, 2 Pu 3.25-3.29
Te  0.4127  0.2670  0.3288  2 Tl 2.96-3.19, 1 Te 3.24, 2 Pu 3.25-3.29
Te  0.0618  0.6456  0.7330  2 Tl 2.96-3.19, 1 Te 3.24, 2 Pu 3.25-3.29
Te  0.6712  0.4382  0.5838  2 Tl 2.96-3.19, 1 Te 3.24, 2 Pu 3.25-3.29
Te  0.2670  0.8544  0.9382  2 Tl 2.96-3.19, 1 Te 3.24, 2 Pu 3.25-3.29

Summary:
Raw formation energy = -359 meV per atom
Final energy = -4.99 eV per atom

=====

[4]
The following is a PBE-GGA calculation of a relaxed structure of RbMg2TlPd, from Alexandria.

Cell: 5.2564 5.2564 5.3854 Å, 90.00 90.00 90.00°
With the nearest neighbours (Å) after each atom.
Sites, in units of the cell vectors:
Mg  0.0000  0.5000  0.0000  2 Pd 2.63
Mg  0.5000  0.0000  0.0000  2 Pd 2.63
Tl  0.0000  0.0000  0.5000  2 Pd 2.69
Rb  0.5000  0.5000  0.5000  4 Tl 3.72, 8 Mg 3.76
Pd  0.0000  0.0000  0.0000  4 Mg 2.63, 2 Tl 2.69

Summary:
Final energy = -2.50 eV per atom
Formation energy = -0.78 eV per formula unit

=====

[5]
The following is a PBE-GGA calculation of a relaxed structure of Pm3Zn7Cd2, from Alexandria.

Cell: 4.2020 4.4689 14.1037 Å, 98.66 90.00 90.00°
With the nearest neighbours (Å) after each atom.
Sites, in units of the cell vectors:
Pm  0.5000  0.5000  0.0000  12 Zn 2.97-3.10
Pm  0.0000  0.1884  0.3649  6 Zn 3.24-3.34, 4 Cd 3.32-3.37
Pm  0.0000  0.8116  0.6351  6 Zn 3.24-3.34, 4 Cd 3.32-3.37
Zn  0.5000  0.7304  0.4584  2 Zn 2.52, 1 Cd 2.65
Zn  0.5000  0.2696  0.5416  2 Zn 2.52, 1 Cd 2.65
Zn  0.0000  0.6205  0.1502  2 Cd 2.68, 3 Zn 2.91-2.93, 2 Pm 2.97
Zn  0.0000  0.0000  0.0000  8 Zn 2.91-3.23, 4 Pm 3.07
Zn  0.0000  0.3795  0.8498  2 Cd 2.68, 3 Zn 2.91-2.93, 2 Pm 2.97
Zn  0.5000  0.9209  0.8484  2 Cd 2.76-2.77, 4 Zn 2.93-2.98, 1 Pm 3.05
Zn  0.5000  0.0791  0.1516  2 Cd 2.76-2.77, 4 Zn 2.93-2.98, 1 Pm 3.05
Cd  0.5000  0.6338  0.2686  5 Zn 2.65-2.77
Cd  0.5000  0.3662  0.7314  5 Zn 2.65-2.77

Summary:
Final energy = -2.28 eV per atom
Formation energy = -2.41 eV per formula unit

=====

[6]
The following is a PBE-GGA calculation of a relaxed structure of Hf2Al2Ge, from Alexandria.

Cell: 6.7372 6.7372 4.0848 Å, 90.00 90.00 90.00°
With the nearest neighbours (Å) after each atom.
Sites, in units of the cell vectors:
Ge  0.0000  0.0000  0.0000  4 Al 2.64
Ge  0.5000  0.5000  0.0000  4 Al 2.64
Hf  0.1719  0.6719  0.5000  6 Al 2.78-2.90
Hf  0.6719  0.8281  0.5000  6 Al 2.78-2.90
Hf  0.8281  0.3281  0.5000  6 Al 2.78-2.90
Hf  0.3281  0.1719  0.5000  6 Al 2.78-2.90
Al  0.3696  0.8696  0.0000  1 Al 2.49, 2 Ge 2.64, 2 Hf 2.78
Al  0.8696  0.6304  0.0000  1 Al 2.49, 2 Ge 2.64, 2 Hf 2.78
Al  0.6304  0.1304  0.0000  1 Al 2.49, 2 Ge 2.64, 2 Hf 2.78
Al  0.1304  0.3696  0.0000  1 Al 2.49, 2 Ge 2.64, 2 Hf 2.78

Summary:
Final energy = -6.62 eV per atom
Formation energy = -1.07 eV per formula unit
Excess energy over the best structure of this formula in the dataset = 25.9 meV per atom

=====

[7]
The following is a PBE-GGA calculation of a relaxed structure of PmTa2Ge2, from Alexandria.

Cell: 4.0726 4.0726 6.7270 Å, 107.62 107.62 90.00°
With the nearest neighbours (Å) after each atom.
Sites, in units of the cell vectors:
Pm  0.0000  0.0000  0.0000  8 Ge 3.15
Ta  0.7500  0.2500  0.5000  4 Ge 2.70, 4 Ta 2.88
Ta  0.2500  0.7500  0.5000  4 Ge 2.70, 4 Ta 2.88
Ge  0.6045  0.6045  0.2091  1 Ge 2.54, 4 Ta 2.70
Ge  0.3955  0.3955  0.7909  1 Ge 2.54, 4 Ta 2.70

Summary:
Final energy = -8.07 eV per atom
Formation energy = -2.65 eV per formula unit

=====

[8]
The following is a PBE-GGA calculation of a relaxed structure of Na2SrTaS4, from Alexandria.

Cell: 6.0124 7.9495 9.4001 Å, 90.00 90.00 90.00°
With the nearest neighbours (Å) after each atom.
Sites, in units of the cell vectors:
Na  0.4371  0.3414  0.2660  4 S 2.69-2.95
Na  0.4371  0.3414  0.7340  4 S 2.69-2.95
Na  0.9371  0.6586  0.7660  4 S 2.69-2.95
Na  0.9371  0.6586  0.2340  4 S 2.69-2.95
Sr  0.9395  0.1371  0.5000  5 S 2.84-3.02
Sr  0.4395  0.8629  0.0000  5 S 2.84-3.02
Ta  0.5113  0.8186  0.5000  4 S 2.33-2.39
Ta  0.0113  0.1814  0.0000  4 S 2.33-2.39
S  0.3962  0.2190  0.0000  1 Ta 2.33
S  0.8962  0.7810  0.5000  1 Ta 2.33
S  0.4388  0.1138  0.5000  1 Ta 2.39
S  0.9388  0.8862  0.0000  1 Ta 2.39
S  0.4199  0.6931  0.7183  1 Ta 2.35
S  0.9199  0.3069  0.2183  1 Ta 2.35
S  0.9199  0.3069  0.7817  1 Ta 2.35
S  0.4199  0.6931  0.2817  1 Ta 2.35

Summary:
Raw formation energy = -1204 meV per atom
Final energy = -5.29 eV per atom

=====

[9]
The following is a PBE-GGA calculation of a relaxed structure of Tc2AgHg, from Alexandria.

Cell: 2.7895 2.7895 9.9047 Å, 90.00 90.00 116.16°
With the nearest neighbours (Å) after each atom.
Sites, in units of the cell vectors:
Ag  0.0000  0.0000  0.4858  6 Ag 2.79-2.95, 2 Tc 2.90, 2 Hg 3.07
Hg  0.5000  0.5000  0.7572  6 Hg 2.79-2.95, 2 Tc 3.02, 2 Ag 3.07
Tc  0.0000  0.0000  0.0237  6 Tc 2.55-2.79
Tc  0.5000  0.5000  0.2333  6 Tc 2.55-2.79

Summary:
Final energy = -5.55 eV per atom
Formation energy = 1.70 eV per formula unit

=====

The highest final energy belongs to which entry? Pm3Zn7Cd2